1.
# PuCoOs GGA-PBE optimized geometry
data_PuCoOs
_cell_length_a 4.0712
_cell_length_b 4.0712
_cell_length_c 3.8418
_cell_angle_alpha 90.00
_cell_angle_beta 90.00
_cell_angle_gamma 120.00
_symmetry_space_group_name_H-M 'P -6 m 2'
_symmetry_Int_Tables_number 187
_symmetry_space_group_name_Hall 'P -6 2'
loop_
_atom_site_label
_atom_site_fract_x
_atom_site_fract_y
_atom_site_fract_z
Pu1 0.0000 0.0000 0.0000
Co1 0.3333 0.6667 0.5000
Os1 0.6667 0.3333 0.5000
# * formation enthalpy at 0 K: 40 kJ/mol of formula units
# * DOS at the Fermi energy: 10.76 states/eV/f.u.

=====

2.
# UReC GGA-PBE optimized geometry
data_UReC
_cell_length_a 3.7518
_cell_length_b 3.7518
_cell_length_c 3.7244
_cell_angle_alpha 90.00
_cell_angle_beta 90.00
_cell_angle_gamma 120.00
_symmetry_space_group_name_H-M 'P -6 m 2'
_symmetry_Int_Tables_number 187
_symmetry_space_group_name_Hall 'P -6 2'
loop_
_atom_site_label
_atom_site_fract_x
_atom_site_fract_y
_atom_site_fract_z
U1 0.0000 0.0000 0.0000
Re1 0.6667 0.3333 0.5000
C1 0.3333 0.6667 0.5000
# * formation enthalpy at 0 K: 124 kJ/mol of formula units
# * DOS at the Fermi energy: 5.99 states/eV/f.u.

=====

3.
# BaCuP GGA-PBE optimized geometry
data_BaCuP
_cell_length_a 11.251
_cell_length_b 5.436
_cell_length_c 5.577
_cell_angle_alpha 90.00
_cell_angle_beta 118.94
_cell_angle_gamma 90.00
_symmetry_space_group_name_H-M 'C 1 2/m 1'
_symmetry_Int_Tables_number 12
loop_
_symmetry_equiv_pos_as_xyz
'x,y,z'
'-x,-y,-z'
'-x,y,-z'
'x,-y,z'
'x+1/2,y+1/2,z'
'-x+1/2,-y+1/2,-z'
'-x+1/2,y+1/2,-z'
'x+1/2,-y+1/2,z'
loop_
_atom_site_label
_atom_site_fract_x
_atom_site_fract_y
_atom_site_fract_z
Ba1 0.185 0.000 0.182
Cu1 0.000 0.220 0.500
P1 0.025 0.500 0.218
# * formation enthalpy at 0 K: -149 kJ/mol of formula units
# * DOS at the Fermi energy: 1.15 states/eV/f.u.

=====

4.
# TlBi2Rh2 GGA-PBE optimized geometry
data_TlBi2Rh2
_cell_length_a 7.935
_cell_length_b 7.935
_cell_length_c 3.526
_cell_angle_alpha 90.00
_cell_angle_beta 90.00
_cell_angle_gamma 90.00
_symmetry_space_group_name_H-M 'P 4/m b m'
_symmetry_Int_Tables_number 127
_symmetry_space_group_name_Hall '-P 4 2ab'
loop_
_atom_site_label
_atom_site_fract_x
_atom_site_fract_y
_atom_site_fract_z
Tl1 0.000 0.000 0.000
Bi1 0.152 0.348 0.500
Rh1 0.136 0.636 0.000
# * formation enthalpy at 0 K: 4 kJ/mol of formula units
# * DOS at the Fermi energy: 4.28 states/eV/f.u.

=====

5.
# LiB11 GGA-PBE optimized geometry
data_LiB11
_cell_length_a 5.459
_cell_length_b 5.459
_cell_length_c 5.540
_cell_angle_alpha 90.00
_cell_angle_beta 90.00
_cell_angle_gamma 90.00
_symmetry_space_group_name_H-M 'I -4 m 2'
_symmetry_Int_Tables_number 119
_symmetry_space_group_name_Hall 'I -4 -2'
loop_
_atom_site_label
_atom_site_fract_x
_atom_site_fract_y
_atom_site_fract_z
Li1 0.000 0.000 0.000
B1 0.000 0.214 0.413
B2 0.000 0.500 0.250
B3 0.000 0.500 0.573
B4 0.204 0.296 0.750
# * formation enthalpy at 0 K: 774 kJ/mol of formula units
# * DOS at the Fermi energy: 2.36 states/eV/f.u.

=====

6.
# La4CSeS2 GGA-PBE optimized geometry
data_La4CSeS2
_cell_length_a 7.153
_cell_length_b 4.101
_cell_length_c 7.299
_cell_angle_alpha 90.00
_cell_angle_beta 108.98
_cell_angle_gamma 90.00
_symmetry_space_group_name_H-M 'P 1 2/m 1'
_symmetry_Int_Tables_number 10
loop_
_symmetry_equiv_pos_as_xyz
'x,y,z'
'-x,-y,-z'
'-x,y,-z'
'x,-y,z'
loop_
_atom_site_label
_atom_site_fract_x
_atom_site_fract_y
_atom_site_fract_z
La1 0.227 0.000 0.221
La2 0.241 0.500 0.775
C1 0.000 0.500 0.000
Se1 0.000 0.000 0.500
S1 0.500 0.000 0.000
S2 0.500 0.500 0.500
# * DOS at the Fermi energy: 2.78 states/eV/f.u.
# * formation energy (no corrections): -1588 meV per atom

=====

7.
# La4InAg GGA-PBE optimized geometry
data_La4InAg
_cell_length_a 5.732
_cell_length_b 21.545
_cell_length_c 6.755
_cell_angle_alpha 90.00
_cell_angle_beta 90.00
_cell_angle_gamma 90.00
_symmetry_space_group_name_H-M 'C m c 21'
_symmetry_Int_Tables_number 36
loop_
_symmetry_equiv_pos_as_xyz
'x,y,z'
'-x,-y,z+1/2'
'-x,y,z'
'x,-y,z+1/2'
'x+1/2,y+1/2,z'
'-x+1/2,-y+1/2,z+1/2'
'-x+1/2,y+1/2,z'
'x+1/2,-y+1/2,z+1/2'
loop_
_atom_site_label
_atom_site_fract_x
_atom_site_fract_y
_atom_site_fract_z
La1 0.000 0.059 0.000
La2 0.000 0.213 0.771
La3 0.000 0.214 0.227
La4 0.000 0.384 0.999
In1 0.000 0.349 0.499
Ag1 0.000 0.083 0.500
# * formation enthalpy at 0 K: -74 kJ/mol of formula units
# * DOS at the Fermi energy: 7.29 states/eV/f.u.

=====

8.
# TaAgRh4 GGA-PBE optimized geometry
data_TaAgRh4
_cell_length_a 7.234
_cell_length_b 7.234
_cell_length_c 7.234
_cell_angle_alpha 90.00
_cell_angle_beta 90.00
_cell_angle_gamma 90.00
_symmetry_space_group_name_H-M 'F -4 3 m'
_symmetry_Int_Tables_number 216
_symmetry_space_group_name_Hall 'F -4 2 3'
loop_
_atom_site_label
_atom_site_fract_x
_atom_site_fract_y
_atom_site_fract_z
Ta1 0.000 0.000 0.000
Ag1 0.250 0.250 0.250
Rh1 0.125 0.125 0.625
# * formation enthalpy at 0 K: -15 kJ/mol of formula units
# * DOS at the Fermi energy: 8.10 states/eV/f.u.